--- i ---
PmSmCdRu | GGA-PBE | optimized geometry

## Properties
Magnetization   0.000 Bohr magnetons per cell

```
data_PmSmCdRu
_cell_length_a 3.539
_cell_length_b 3.539
_cell_length_c 7.872
_cell_angle_alpha 90.00
_cell_angle_beta 90.00
_cell_angle_gamma 90.00
_symmetry_space_group_name_H-M 'P 4 m m'
_symmetry_Int_Tables_number 99
loop_
_symmetry_equiv_pos_as_xyz
'x,y,z'
'-y,x,z'
'-x,-y,z'
'y,-x,z'
'-x,y,z'
'y,x,z'
'x,-y,z'
'-y,-x,z'
loop_
_atom_site_label
_atom_site_type_symbol
_atom_site_fract_x
_atom_site_fract_y
_atom_site_fract_z
Pm1 Pm 0.000 0.000 0.000
Sm1 Sm 0.000 0.000 0.569
Cd1 Cd 0.500 0.500 0.286
Ru1 Ru 0.500 0.500 0.783
```

--- ii ---
PmSmCdRu | GGA-PBE | optimized geometry

## Properties
Magnetization   0.000 Bohr magnetons per cell

```
data_PmSmCdRu
_cell_length_a 7.281
_cell_length_b 7.281
_cell_length_c 7.281
_cell_angle_alpha 90.00
_cell_angle_beta 90.00
_cell_angle_gamma 90.00
_symmetry_space_group_name_H-M 'F -4 3 m'
_symmetry_Int_Tables_number 216
_symmetry_space_group_name_Hall 'F -4 2 3'
loop_
_atom_site_label
_atom_site_type_symbol
_atom_site_fract_x
_atom_site_fract_y
_atom_site_fract_z
Pm1 Pm 0.000 0.000 0.000
Sm1 Sm 0.000 0.000 0.500
Cd1 Cd 0.250 0.250 0.250
Ru1 Ru 0.250 0.250 0.750
```

The structure with the least stability is ii.

--- i ---
TbPmCdRu | GGA-PBE | optimized geometry

## Properties
Magnetization   0.000 Bohr magnetons per cell

```
data_TbPmCdRu
_cell_length_a 7.224
_cell_length_b 7.224
_cell_length_c 7.224
_cell_angle_alpha 90.00
_cell_angle_beta 90.00
_cell_angle_gamma 90.00
_symmetry_space_group_name_H-M 'F -4 3 m'
_symmetry_Int_Tables_number 216
_symmetry_space_group_name_Hall 'F -4 2 3'
loop_
_atom_site_label
_atom_site_type_symbol
_atom_site_fract_x
_atom_site_fract_y
_atom_site_fract_z
Tb1 Tb 0.000 0.000 0.000
Pm1 Pm 0.000 0.000 0.500
Cd1 Cd 0.250 0.250 0.750
Ru1 Ru 0.250 0.250 0.250
```

--- ii ---
TbPmCdRu | GGA-PBE | optimized geometry

## Properties
Magnetization   0.000 Bohr magnetons per cell

```
data_TbPmCdRu
_cell_length_a 3.513
_cell_length_b 3.513
_cell_length_c 7.805
_cell_angle_alpha 90.00
_cell_angle_beta 90.00
_cell_angle_gamma 90.00
_symmetry_space_group_name_H-M 'P 4 m m'
_symmetry_Int_Tables_number 99
loop_
_symmetry_equiv_pos_as_xyz
'x,y,z'
'-y,x,z'
'-x,-y,z'
'y,-x,z'
'-x,y,z'
'y,x,z'
'x,-y,z'
'-y,-x,z'
loop_
_atom_site_label
_atom_site_type_symbol
_atom_site_fract_x
_atom_site_fract_y
_atom_site_fract_z
Tb1 Tb 0.000 0.000 0.000
Pm1 Pm 0.000 0.000 0.431
Cd1 Cd 0.500 0.500 0.724
Ru1 Ru 0.500 0.500 0.208
```

The structure with the least stability is i.

--- i ---
PmTmCdRu | GGA-PBE | optimized geometry

## Properties
Magnetization   0.000 Bohr magnetons per cell

```
data_PmTmCdRu
_cell_length_a 7.164
_cell_length_b 7.164
_cell_length_c 7.164
_cell_angle_alpha 90.00
_cell_angle_beta 90.00
_cell_angle_gamma 90.00
_symmetry_space_group_name_H-M 'F -4 3 m'
_symmetry_Int_Tables_number 216
_symmetry_space_group_name_Hall 'F -4 2 3'
loop_
_atom_site_label
_atom_site_type_symbol
_atom_site_fract_x
_atom_site_fract_y
_atom_site_fract_z
Pm1 Pm 0.000 0.000 0.000
Tm1 Tm 0.000 0.000 0.500
Cd1 Cd 0.250 0.250 0.250
Ru1 Ru 0.250 0.250 0.750
```

--- ii ---
PmTmCdRu | GGA-PBE | optimized geometry

## Properties
Magnetization   0.000 Bohr magnetons per cell

```
data_PmTmCdRu
_cell_length_a 3.483
_cell_length_b 3.483
_cell_length_c 7.733
_cell_angle_alpha 90.00
_cell_angle_beta 90.00
_cell_angle_gamma 90.00
_symmetry_space_group_name_H-M 'P 4 m m'
_symmetry_Int_Tables_number 99
loop_
_symmetry_equiv_pos_as_xyz
'x,y,z'
'-y,x,z'
'-x,-y,z'
'y,-x,z'
'-x,y,z'
'y,x,z'
'x,-y,z'
'-y,-x,z'
loop_
_atom_site_label
_atom_site_type_symbol
_atom_site_fract_x
_atom_site_fract_y
_atom_site_fract_z
Pm1 Pm 0.000 0.000 0.000
Tm1 Tm 0.000 0.000 0.569
Cd1 Cd 0.500 0.500 0.300
Ru1 Ru 0.500 0.500 0.771
```

The structure with the least stability is i.

--- i ---
PmYCdRu | GGA-PBE | optimized geometry

## Properties
Magnetization   0.000 Bohr magnetons per cell

```
data_PmYCdRu
_cell_length_a 7.219
_cell_length_b 7.219
_cell_length_c 7.219
_cell_angle_alpha 90.00
_cell_angle_beta 90.00
_cell_angle_gamma 90.00
_symmetry_space_group_name_H-M 'F -4 3 m'
_symmetry_Int_Tables_number 216
_symmetry_space_group_name_Hall 'F -4 2 3'
loop_
_atom_site_label
_atom_site_type_symbol
_atom_site_fract_x
_atom_site_fract_y
_atom_site_fract_z
Pm1 Pm 0.000 0.000 0.000
Y1 Y 0.000 0.000 0.500
Cd1 Cd 0.250 0.250 0.750
Ru1 Ru 0.250 0.250 0.250
```

--- ii ---
PmYCdRu | GGA-PBE | optimized geometry

## Properties
Magnetization   0.000 Bohr magnetons per cell

```
data_PmYCdRu
_cell_length_a 3.519
_cell_length_b 3.519
_cell_length_c 7.755
_cell_angle_alpha 90.00
_cell_angle_beta 90.00
_cell_angle_gamma 90.00
_symmetry_space_group_name_H-M 'P 4 m m'
_symmetry_Int_Tables_number 99
loop_
_symmetry_equiv_pos_as_xyz
'x,y,z'
'-y,x,z'
'-x,-y,z'
'y,-x,z'
'-x,y,z'
'y,x,z'
'x,-y,z'
'-y,-x,z'
loop_
_atom_site_label
_atom_site_type_symbol
_atom_site_fract_x
_atom_site_fract_y
_atom_site_fract_z
Pm1 Pm 0.000 0.000 0.000
Y1 Y 0.000 0.000 0.567
Cd1 Cd 0.500 0.500 0.294
Ru1 Ru 0.500 0.500 0.778
```

The structure with the least stability is i.

--- i ---
Pm2CdS | GGA-PBE | optimized geometry

## Properties
Magnetization   0.000 Bohr magnetons per cell

```
data_Pm2CdS
_cell_length_a 4.0084
_cell_length_b 4.0084
_cell_length_c 23.3485
_cell_angle_alpha 90.00
_cell_angle_beta 90.00
_cell_angle_gamma 120.00
_symmetry_space_group_name_H-M 'R -3 m'
_symmetry_Int_Tables_number 166
_symmetry_space_group_name_Hall '-R 3 2"'
loop_
_atom_site_label
_atom_site_type_symbol
_atom_site_fract_x
_atom_site_fract_y
_atom_site_fract_z
Pm1 Pm 0.0000 0.0000 0.2360
Cd1 Cd 0.0000 0.0000 0.0000
S1 S 0.0000 0.0000 0.5000
```

--- ii ---
Pm2CdS | GGA-PBE | optimized geometry

## Properties
Magnetization   0.000 Bohr magnetons per cell

```
data_Pm2CdS
_cell_length_a 3.9525
_cell_length_b 3.9525
_cell_length_c 24.2238
_cell_angle_alpha 90.00
_cell_angle_beta 90.00
_cell_angle_gamma 120.00
_symmetry_space_group_name_H-M 'R 3 m'
_symmetry_Int_Tables_number 160
_symmetry_space_group_name_Hall 'R 3 -2"'
loop_
_atom_site_label
_atom_site_type_symbol
_atom_site_fract_x
_atom_site_fract_y
_atom_site_fract_z
Pm1 Pm 0.0000 0.0000 0.0000
Pm2 Pm 0.0000 0.0000 0.1986
Cd1 Cd 0.0000 0.0000 0.7659
S1 S 0.0000 0.0000 0.5978
```

The structure with the least stability is ii.

--- i ---
Pm3ScCd | GGA-PBE | optimized geometry

## Properties
Magnetization   0.936 Bohr magnetons per cell

```
data_Pm3ScCd
_cell_length_a 19.255
_cell_length_b 3.625
_cell_length_c 8.692
_cell_angle_alpha 90.00
_cell_angle_beta 102.91
_cell_angle_gamma 90.00
_symmetry_space_group_name_H-M 'C 1 2/m 1'
_symmetry_Int_Tables_number 12
loop_
_symmetry_equiv_pos_as_xyz
'x,y,z'
'-x,-y,-z'
'-x,y,-z'
'x,-y,z'
'x+1/2,y+1/2,z'
'-x+1/2,-y+1/2,-z'
'-x+1/2,y+1/2,-z'
'x+1/2,-y+1/2,z'
loop_
_atom_site_label
_atom_site_type_symbol
_atom_site_fract_x
_atom_site_fract_y
_atom_site_fract_z
Pm1 Pm 0.007 0.000 0.295
Pm2 Pm 0.100 0.500 0.028
Pm3 Pm 0.188 0.000 0.368
Sc1 Sc 0.212 0.000 0.848
Cd1 Cd 0.116 0.500 0.604
```

--- ii ---
Pm3ScCd | GGA-PBE | optimized geometry

## Properties
Magnetization   0.002 Bohr magnetons per cell

```
data_Pm3ScCd
_cell_length_a 8.047
_cell_length_b 6.963
_cell_length_c 11.017
_cell_angle_alpha 90.00
_cell_angle_beta 100.66
_cell_angle_gamma 90.00
_symmetry_space_group_name_H-M 'P 1 21/c 1'
_symmetry_Int_Tables_number 14
loop_
_symmetry_equiv_pos_as_xyz
'x,y,z'
'-x,-y,-z'
'-x,y+1/2,-z+1/2'
'x,-y+1/2,z+1/2'
loop_
_atom_site_label
_atom_site_type_symbol
_atom_site_fract_x
_atom_site_fract_y
_atom_site_fract_z
Pm1 Pm 0.154 0.236 0.397
Pm2 Pm 0.285 0.518 0.171
Pm3 Pm 0.287 0.516 0.650
Sc1 Sc 0.071 0.746 0.382
Cd1 Cd 0.438 0.724 0.943
```

The structure with the least stability is ii.